(1)
La2MnSbC: optimized geometry, GGA-PBE.

POSCAR file:
```
La2MnSbC
1.0
5.411 0.000 0.000
0.000 5.411 0.000
0.000 0.000 3.999
La Mn C Sb
2 1 1 1
Direct
0.500 0.000 0.000
0.000 0.500 0.000
0.000 0.000 0.500
0.000 0.000 0.000
0.500 0.500 0.500
```

Its total energy is -34.6 eV/cell. Its space group is No. 123. Its uncorrected formation energy is -441 meV per atom. The total magnetization comes out at 3.3 μB per formula unit.

---

(2)
TeIr2Se: optimized geometry, GGA-PBE.

POSCAR file:
```
TeIr2Se
1.0
-1.394 1.797 1.881
0.872 -3.338 3.836
4.044 2.145 0.947
Te Ir Se
1 2 1
Direct
0.000 0.500 0.500
0.000 0.000 0.000
0.500 0.500 0.000
0.500 0.000 0.500
```

Its total energy is -21.5 eV/cell. Its space group is No. 47. Its energy relative to the lowest polymorph listed for this composition is 679 meV per atom. Its uncorrected formation energy is 700 meV per atom. The total magnetization comes out at 0.0 μB per formula unit.

---

(3)
MnCoPb2: optimized geometry, GGA-PBE.

POSCAR file:
```
MnCoPb2
1.0
-0.766 5.462 5.134
-4.156 -4.604 4.278
0.095 -0.553 6.132
Pb Mn Co
4 2 2
Direct
0.096 0.625 0.250
0.654 0.125 0.250
0.875 0.904 0.750
0.375 0.346 0.750
0.500 0.500 0.000
0.250 0.750 0.500
0.750 0.250 0.500
0.000 0.000 0.000
```

Its total energy is -41.9 eV/cell. Its space group is No. 122. For the formation energy, the calculation gives 2.8 eV per formula unit. Its energy relative to the lowest polymorph listed for this composition is 426 meV per atom. The total magnetization comes out at 4.9 μB per formula unit.

---

(4)
CrSbRu: optimized geometry, GGA-PBE.

POSCAR file:
```
CrSbRu
1.0
4.426 0.000 0.000
-2.213 3.833 0.000
0.000 0.000 3.051
Cr Sb Ru
1 1 1
Direct
0.000 0.000 0.000
0.333 0.667 0.500
0.667 0.333 0.500
```

Its total energy is -22.1 eV/cell. Its space group is No. 187. Its uncorrected formation energy is 300 meV per atom. The total magnetization comes out at 3.2 μB per formula unit.

---

(5)
AlAs3: optimized geometry, GGA-PBE.

POSCAR file:
```
AlAs3
1.0
3.806 0.000 0.000
0.000 2.790 0.041
0.000 1.616 7.497
As Al
3 1
Direct
0.500 0.646 0.239
0.500 0.354 0.761
0.000 0.500 0.500
0.000 0.000 0.000
```

Its total energy is -17.3 eV/cell. Its space group is No. 10. For the formation energy, the calculation gives 0.4 eV per formula unit. Its energy relative to the lowest polymorph listed for this composition is 194 meV per atom. The total magnetization comes out at 0.0 μB per formula unit.

---

(6)
Ca2GaGe2Ir5: optimized geometry, GGA-PBE.

POSCAR file:
```
Ca2GaGe2Ir5
1.0
3.497 0.000 0.000
0.000 9.838 0.000
0.000 0.000 9.838
Ge Ir Ca Ga
4 10 4 2
Direct
0.000 0.872 0.372
0.000 0.128 0.628
0.000 0.628 0.872
0.000 0.372 0.128
0.500 0.702 0.436
0.500 0.500 0.000
0.500 0.000 0.500
0.500 0.936 0.202
0.500 0.202 0.064
0.500 0.564 0.702
0.500 0.298 0.564
0.500 0.436 0.298
0.500 0.798 0.936
0.500 0.064 0.798
0.000 0.673 0.173
0.000 0.327 0.827
0.000 0.827 0.673
0.000 0.173 0.327
0.000 0.000 0.000
0.000 0.500 0.500
```

Its total energy is -129.3 eV/cell. Its space group is No. 127. For the formation energy, the calculation gives -4.1 eV per formula unit. The total magnetization comes out at 0.0 μB per formula unit.

---

(7)
LiPaW2N6: optimized geometry, GGA-PBE.

POSCAR file:
```
LiPaW2N6
1.0
-3.078 -3.753 3.934
4.241 -0.618 5.873
-4.186 4.366 4.035
Li W N Pa
2 4 12 2
Direct
0.750 0.767 0.233
0.250 0.233 0.767
0.770 0.610 0.783
0.230 0.390 0.217
0.730 0.217 0.390
0.270 0.783 0.610
0.848 0.371 0.883
0.537 0.622 0.662
0.856 0.026 0.195
0.144 0.974 0.805
0.152 0.629 0.117
0.652 0.117 0.629
0.356 0.195 0.026
0.644 0.805 0.974
0.037 0.662 0.622
0.348 0.883 0.371
0.963 0.338 0.378
0.463 0.378 0.338
0.250 0.900 0.100
0.750 0.100 0.900
```

Its total energy is -189.6 eV/cell. Its space group is No. 15. Its uncorrected formation energy is -751 meV per atom. The total magnetization comes out at 0.0 μB per formula unit.

---

(8)
Tc5MoOs2: optimized geometry, GGA-PBE.

POSCAR file:
```
Tc5MoOs2
1.0
-4.454 -1.562 -0.807
-1.867 0.500 -4.843
3.888 -4.814 2.043
Tc Os Mo
5 2 1
Direct
0.667 0.909 0.909
0.167 0.657 0.661
0.665 0.415 0.409
0.080 0.291 0.781
0.081 0.785 0.284
0.587 0.033 0.538
0.583 0.533 0.034
0.170 0.155 0.161
```

Its total energy is -85.3 eV/cell. Its space group is No. 1. For the formation energy, the calculation gives -0.2 eV per formula unit. The total magnetization comes out at 0.0 μB per formula unit.

---

(9)
YLuTe3: optimized geometry, GGA-PBE.

POSCAR file:
```
YLuTe3
1.0
-3.860 -6.245 -2.147
4.912 -4.354 9.470
-3.402 -0.275 2.612
Lu Te Y
2 6 2
Direct
0.829 0.999 0.411
0.828 0.333 0.744
0.566 0.756 0.664
0.593 0.081 0.988
0.589 0.414 0.323
0.092 0.575 0.491
0.069 0.917 0.832
0.064 0.251 0.167
0.341 0.496 0.907
0.317 0.836 0.248
```

Its total energy is -54.4 eV/cell. Its space group is No. 12. Its energy relative to the lowest polymorph listed for this composition is 30 meV per atom. Its uncorrected formation energy is -1361 meV per atom. The total magnetization comes out at 0.0 μB per formula unit.

---

(10)
K2TiRu2: optimized geometry, GGA-PBE.

POSCAR file:
```
K2TiRu2
1.0
-2.707 2.086 -3.669
3.591 -1.152 -3.304
-1.508 -3.411 -4.253
Ru K Ti
2 2 1
Direct
0.250 0.750 0.500
0.750 0.250 0.500
0.640 0.640 0.720
0.360 0.360 0.280
0.000 0.000 0.000
```

Its total energy is -18.5 eV/cell. Its space group is No. 139. For the formation energy, the calculation gives 10.1 eV per formula unit. Its energy relative to the lowest polymorph listed for this composition is 484 meV per atom. The total magnetization comes out at 0.0 μB per formula unit.

---

(11)
Pa2TaAl6: optimized geometry, GGA-PBE.

POSCAR file:
```
Pa2TaAl6
1.0
-2.834 0.710 0.977
1.523 -3.547 6.998
3.133 4.218 6.022
Ta Pa Al
1 2 6
Direct
0.000 0.000 0.000
0.000 0.667 0.667
0.000 0.333 0.333
0.500 0.000 0.321
0.500 0.679 0.321
0.500 0.679 0.000
0.500 0.000 0.679
0.500 0.321 0.679
0.500 0.321 0.000
```

Its total energy is -54.7 eV/cell. Its space group is No. 191. For the formation energy, the calculation gives -1.4 eV per formula unit. The total magnetization comes out at 0.0 μB per formula unit.

---

(12)
Zn: optimized geometry, GGA-PBE.

POSCAR file:
```
Zn
1.0
-0.534 2.177 -1.426
-1.600 -2.115 -0.155
-2.726 1.787 3.749
Zn
2
Direct
0.833 0.666 0.750
0.167 0.334 0.250
```

Its total energy is -2.5 eV/cell. Its space group is No. 194. For the formation energy, the calculation gives 0.0 eV per formula unit. Its energy relative to the lowest polymorph listed for this composition is 0 meV per atom. The total magnetization comes out at 0.0 μB per formula unit.

---

Question: Number 1 is which compound?
Answer: La2MnSbC